This record from Alexandria via LeMat-Bulk describes a relaxed NpUTl2S6 crystal. The functional is GGA-PBE.

The calculation puts the magnetic moment at 3.0 μB/f.u. For the density, the calculation gives 6.57 g/cm3. The value obtained for the formation energy without anion corrections is -0.93 eV per atom. The calculation puts the density of states at the Fermi level at 1.392 states/eV/atom.

Lattice parameters (Å, degrees): 7.2709 7.2675 12.6056 90.00 125.20 90.00
With the nearest neighbours (Å) after each atom.
Element x y z (fractional)
Np (0.0000, 0.0000, 0.0000)  6 S 2.63
Np (0.0000, 0.5000, 0.5000)  6 S 2.63
U (0.5000, 0.0000, 0.5000)  6 S 2.57
U (0.5000, 0.5000, 0.0000)  6 S 2.57
Tl (0.2521, 0.0249, 0.7498)  8 S 3.29-3.58
Tl (0.2521, 0.4751, 0.2498)  8 S 3.29-3.58
Tl (0.7479, 0.5249, 0.7502)  8 S 3.29-3.58
Tl (0.7479, 0.9751, 0.2502)  8 S 3.29-3.58
S (0.2020, 0.0057, 0.2527)  1 U 2.57, 1 Np 2.63
S (0.2020, 0.4943, 0.7527)  1 U 2.57, 1 Np 2.63
S (0.2489, 0.7177, 0.0257)  1 U 2.57, 1 Np 2.63
S (0.2489, 0.7823, 0.5257)  1 U 2.57, 1 Np 2.63
S (0.3086, 0.2228, 0.0260)  1 U 2.57, 1 Np 2.63
S (0.3086, 0.2772, 0.5260)  1 U 2.57, 1 Np 2.63
S (0.6914, 0.7228, 0.4740)  1 U 2.57, 1 Np 2.63
S (0.6914, 0.7772, 0.9740)  1 U 2.57, 1 Np 2.63
S (0.7511, 0.2177, 0.4743)  1 U 2.57, 1 Np 2.63
S (0.7511, 0.2823, 0.9743)  1 U 2.57, 1 Np 2.63
S (0.7980, 0.5057, 0.2473)  1 U 2.57, 1 Np 2.63
S (0.7980, 0.9943, 0.7473)  1 U 2.57, 1 Np 2.63